A relaxed Nb4GaSi crystal. Source: Alexandria via LeMat-Bulk, functional PBE.

The structure belongs to space group Cmmm (No. 65); the cell edges are 8.1585, 8.2023 and 3.6835 Å and the angles 90.00°, 90.00° and 90.00°. The asymmetric unit holds Nb at (0.0000, 0.2096, 0.0000), Nb at (0.1976, 0.5000, 0.5000), Ga at (0.0000, 0.0000, 0.5000) and Si at (0.0000, 0.5000, 0.0000).

The value obtained for the relative energy among the computed polymorphs is 1.007 eV per atom.

=====

A relaxed Th2GaOs2 crystal. Source: Alexandria via LeMat-Bulk, functional PBE.

The structure belongs to space group C2/c (No. 15); the cell edges are 10.1071, 5.5896 and 8.1796 Å and the angles 90.00°, 107.30° and 90.00°. The asymmetric unit holds Th at (0.1459, 0.1535, 0.1463), Ga at (0.0000, 0.3748, 0.7500) and Os at (0.1372, 0.3455, 0.5279).

The formation energy is -431 meV per atom.

=====

no.,V (Å³ per atom)
1,20.5
2,22.1